Arrangement A

Density functional theory data (PBE-GGA) for a relaxed Nd2ZnPd6 crystal.

Output
- Volume: 18.9 Å³/atom
- Magnetic moment: 0.0 μB per cell
- SG: No. 12
- DOS at the Fermi energy: 0.34 states/eV per atom

Lattice parameters (Å, degrees): 5.729 5.729 6.148 102.18 102.18 60.59
Positions (direct):
Nd 0.144 0.144 0.335
Nd 0.856 0.856 0.665
Zn 0.500 0.500 0.500
Pd 0.109 0.630 0.182
Pd 0.370 0.891 0.818
Pd 0.374 0.374 0.807
Pd 0.626 0.626 0.193
Pd 0.630 0.109 0.182
Pd 0.891 0.370 0.818

***

Arrangement B

Density functional theory data (PBE-GGA) for a relaxed Nd2ZnPd6 crystal.

Output
- Volume: 18.9 Å³/atom
- Magnetic moment: 0.0 μB per cell
- SG: No. 164
- DOS at the Fermi energy: 0.28 states/eV per atom

Lattice parameters (Å, degrees): 5.811 5.811 5.808 90.00 90.00 120.00
Positions (direct):
Nd 0.333 0.667 0.319
Nd 0.667 0.333 0.681
Zn 0.000 0.000 0.500
Pd 0.174 0.348 0.811
Pd 0.174 0.826 0.811
Pd 0.348 0.174 0.189
Pd 0.652 0.826 0.811
Pd 0.826 0.174 0.189
Pd 0.826 0.652 0.189

***

Most stable structure - arrangement B; separation to the second - 1.5 kJ/mol of atoms.

***

Arrangement A

Density functional theory data (PBE-GGA) for a relaxed NdZn2Pd2 crystal.

Output
- Volume: 19.4 Å³/atom
- Magnetic moment: 0.0 μB per cell
- SG: No. 139
- DOS at the Fermi energy: 0.37 states/eV per atom

Lattice parameters (Å, degrees): 6.614 6.614 6.614 144.57 144.57 50.98
Positions (direct):
Nd 0.000 0.000 0.000
Zn 0.250 0.750 0.500
Zn 0.750 0.250 0.500
Pd 0.387 0.387 0.000
Pd 0.613 0.613 0.000

***

Arrangement B

Density functional theory data (PBE-GGA) for a relaxed NdZn2Pd2 crystal.

Output
- Volume: 19.3 Å³/atom
- Magnetic moment: 0.0 μB per cell
- SG: No. 139
- DOS at the Fermi energy: 0.70 states/eV per atom

Lattice parameters (Å, degrees): 11.304 11.304 11.304 158.57 158.57 30.50
Positions (direct):
Nd 0.128 0.128 0.000
Nd 0.872 0.872 0.000
Zn 0.000 0.500 0.500
Zn 0.317 0.317 0.000
Zn 0.500 0.000 0.500
Zn 0.683 0.683 0.000
Pd 0.250 0.750 0.500
Pd 0.432 0.432 0.000
Pd 0.568 0.568 0.000
Pd 0.750 0.250 0.500

***

Most stable structure - arrangement A; separation to the second - 0.5 kJ/mol of atoms.

***

Arrangement A

Density functional theory data (PBE-GGA) for a relaxed NdZrPd crystal.

Output
- Volume: 23.9 Å³/atom
- Magnetic moment: 0.0 μB per cell
- SG: No. 107
- DOS at the Fermi energy: 1.61 states/eV per atom

Lattice parameters (Å, degrees): 6.396 6.396 6.396 148.34 148.34 45.38
Positions (direct):
Nd 0.000 0.000 0.000
Zr 0.297 0.297 0.000
Pd 0.683 0.683 0.000

***

Arrangement B

Density functional theory data (PBE-GGA) for a relaxed NdZrPd crystal.

Output
- Volume: 24.6 Å³/atom
- Magnetic moment: 0.0 μB per cell
- SG: No. 139
- DOS at the Fermi energy: 1.35 states/eV per atom

Lattice parameters (Å, degrees): 7.982 7.982 7.982 147.34 147.34 46.86
Positions (direct):
Nd 0.181 0.181 0.000
Nd 0.819 0.819 0.000
Zr 0.000 0.500 0.500
Zr 0.500 0.000 0.500
Pd 0.375 0.375 0.000
Pd 0.625 0.625 0.000

***

Most stable structure - arrangement B; separation to the second - 5.5 kJ/mol of atoms.

***

Arrangement A

Density functional theory data (PBE-GGA) for a relaxed Pm2Nd5 crystal.

Output
- Volume: 35.1 Å³/atom
- Magnetic moment: 0.0 μB per cell
- SG: No. 166
- DOS at the Fermi energy: 2.12 states/eV per atom

Lattice parameters (Å, degrees): 9.019 9.019 9.019 37.65 37.65 37.65
Positions (direct):
Pm 0.136 0.136 0.136
Pm 0.864 0.864 0.864
Nd 0.000 0.000 0.000
Nd 0.272 0.272 0.272
Nd 0.417 0.417 0.417
Nd 0.583 0.583 0.583
Nd 0.728 0.728 0.728

***

Arrangement B

Density functional theory data (PBE-GGA) for a relaxed Pm2Nd5 crystal.

Output
- Volume: 34.9 Å³/atom
- Magnetic moment: 0.0 μB per cell
- SG: No. 12
- DOS at the Fermi energy: 2.07 states/eV per atom

Lattice parameters (Å, degrees): 5.720 5.720 9.348 113.21 113.21 64.52
Positions (direct):
Pm 0.215 0.215 0.143
Pm 0.785 0.785 0.857
Nd 0.072 0.072 0.716
Nd 0.356 0.356 0.571
Nd 0.500 0.500 0.000
Nd 0.644 0.644 0.429
Nd 0.928 0.928 0.284

***

Most stable structure - arrangement B; separation to the second - 1.9 kJ/mol of atoms.

***

Arrangement A

Density functional theory data (PBE-GGA) for a relaxed Pm13Nd3 crystal.

Output
- Volume: 34.5 Å³/atom
- Magnetic moment: 0.0 μB per cell
- SG: No. 38
- DOS at the Fermi energy: 1.63 states/eV per atom

Lattice parameters (Å, degrees): 10.328 7.316 7.316 89.99 90.00 90.00
Positions (direct):
Pm 0.000 0.000 0.000
Pm 0.000 0.001 0.499
Pm 0.000 0.499 0.001
Pm 0.000 0.500 0.500
Pm 0.250 0.250 0.250
Pm 0.250 0.250 0.750
Pm 0.250 0.750 0.250
Pm 0.500 0.000 0.500
Pm 0.500 0.001 0.001
Pm 0.500 0.500 0.000
Pm 0.750 0.250 0.250
Pm 0.750 0.250 0.750
Pm 0.750 0.750 0.250
Nd 0.250 0.750 0.750
Nd 0.500 0.499 0.499
Nd 0.750 0.750 0.750

***

Arrangement B

Density functional theory data (PBE-GGA) for a relaxed Pm13Nd3 crystal.

Output
- Volume: 34.8 Å³/atom
- Magnetic moment: 0.0 μB per cell
- SG: No. 38
- DOS at the Fermi energy: 1.72 states/eV per atom

Lattice parameters (Å, degrees): 7.377 8.705 8.705 85.62 90.00 90.00
Positions (direct):
Pm 0.000 0.000 0.000
Pm 0.000 0.416 0.917
Pm 0.000 0.499 0.499
Pm 0.000 0.917 0.416
Pm 0.250 0.167 0.666
Pm 0.250 0.250 0.250
Pm 0.250 0.666 0.167
Pm 0.500 0.416 0.917
Pm 0.500 0.499 0.499
Pm 0.500 0.917 0.416
Pm 0.750 0.167 0.666
Pm 0.750 0.250 0.250
Pm 0.750 0.666 0.167
Nd 0.250 0.749 0.749
Nd 0.500 0.000 0.000
Nd 0.750 0.749 0.749

***

Most stable structure - arrangement A; separation to the second - 1.6 kJ/mol of atoms.

***

Arrangement A

Density functional theory data (PBE-GGA) for a relaxed Pm3Nd crystal.

Output
- Volume: 34.6 Å³/atom
- Magnetic moment: 0.0 μB per cell
- SG: No. 139
- DOS at the Fermi energy: 1.52 states/eV per atom

Lattice parameters (Å, degrees): 6.354 6.354 6.354 132.07 132.07 70.12
Positions (direct):
Pm 0.000 0.000 0.000
Pm 0.250 0.750 0.500
Pm 0.750 0.250 0.500
Nd 0.500 0.500 0.000

***

Arrangement B

Density functional theory data (PBE-GGA) for a relaxed Pm3Nd crystal.

Output
- Volume: 34.9 Å³/atom
- Magnetic moment: 0.0 μB per cell
- SG: No. 44
- DOS at the Fermi energy: 1.74 states/eV per atom

Lattice parameters (Å, degrees): 6.983 6.983 6.983 149.42 63.78 125.52
Positions (direct):
Pm 0.000 0.000 0.000
Pm 0.420 0.670 0.750
Pm 0.921 0.670 0.250
Nd 0.500 0.000 0.500

***

Most stable structure - arrangement A; separation to the second - 1.7 kJ/mol of atoms.

***

Arrangement A

Density functional theory data (PBE-GGA) for a relaxed Pm3Nd crystal.

Output
- Volume: 34.7 Å³/atom
- Magnetic moment: 0.0 μB per cell
- SG: No. 225
- DOS at the Fermi energy: 2.69 states/eV per atom

Lattice parameters (Å, degrees): 5.810 5.810 5.810 60.00 60.00 60.00
Positions (direct):
Pm 0.000 0.000 0.000
Pm 0.250 0.250 0.250
Pm 0.750 0.750 0.750
Nd 0.500 0.500 0.500

***

Arrangement B

Density functional theory data (PBE-GGA) for a relaxed Pm3Nd crystal.

Output
- Volume: 35.0 Å³/atom
- Magnetic moment: 0.0 μB per cell
- SG: No. 194
- DOS at the Fermi energy: 1.75 states/eV per atom

Lattice parameters (Å, degrees): 7.407 7.407 5.894 90.00 90.00 120.00
Positions (direct):
Pm 0.167 0.333 0.250
Pm 0.167 0.833 0.250
Pm 0.333 0.167 0.750
Pm 0.667 0.833 0.250
Pm 0.833 0.167 0.750
Pm 0.833 0.667 0.750
Nd 0.333 0.667 0.750
Nd 0.667 0.333 0.250

***

Arrangement C

Density functional theory data (PBE-GGA) for a relaxed Pm3Nd crystal.

Output
- Volume: 34.5 Å³/atom
- Magnetic moment: 0.0 μB per cell
- SG: No. 221
- DOS at the Fermi energy: 1.66 states/eV per atom

Lattice parameters (Å, degrees): 5.169 5.169 5.169 90.00 90.00 90.00
Positions (direct):
Pm 0.000 0.000 0.500
Pm 0.000 0.500 0.000
Pm 0.500 0.000 0.000
Nd 0.500 0.500 0.500

***

Arrangement D

Density functional theory data (PBE-GGA) for a relaxed Pm3Nd crystal.

Output
- Volume: 34.6 Å³/atom
- Magnetic moment: 0.0 μB per cell
- SG: No. 62
- DOS at the Fermi energy: 1.19 states/eV per atom

Lattice parameters (Å, degrees): 6.360 11.853 7.344 90.00 90.00 90.00
Positions (direct):
Pm 0.083 0.250 0.125
Pm 0.250 0.000 0.375
Pm 0.250 0.000 0.875
Pm 0.250 0.500 0.375
Pm 0.250 0.500 0.875
Pm 0.417 0.750 0.625
Pm 0.583 0.250 0.375
Pm 0.750 0.000 0.125
Pm 0.750 0.000 0.625
Pm 0.750 0.500 0.125
Pm 0.750 0.500 0.625
Pm 0.917 0.750 0.875
Nd 0.083 0.250 0.625
Nd 0.417 0.750 0.125
Nd 0.583 0.250 0.875
Nd 0.917 0.750 0.375

***

Most stable structure - arrangement D; separation to the second - 1.1 kJ/mol of atoms.

***

Arrangement A

Density functional theory data (PBE-GGA) for a relaxed Pm13Nd2 crystal.

Output
- Volume: 34.5 Å³/atom
- Magnetic moment: 0.0 μB per cell
- SG: No. 2
- DOS at the Fermi energy: 1.45 states/eV per atom

Lattice parameters (Å, degrees): 6.830 8.950 9.239 68.93 82.77 80.18
Positions (direct):
Pm 0.000 0.000 0.000
Pm 0.097 0.421 0.693
Pm 0.134 0.197 0.267
Pm 0.237 0.578 0.974
Pm 0.334 0.000 0.667
Pm 0.430 0.422 0.359
Pm 0.468 0.197 0.935
Pm 0.532 0.803 0.065
Pm 0.570 0.578 0.641
Pm 0.666 0.000 0.333
Pm 0.763 0.422 0.026
Pm 0.866 0.803 0.733
Pm 0.903 0.579 0.307
Nd 0.199 0.803 0.399
Nd 0.801 0.197 0.601

***

Arrangement B

Density functional theory data (PBE-GGA) for a relaxed Pm13Nd2 crystal.

Output
- Volume: 35.3 Å³/atom
- Magnetic moment: 0.0 μB per cell
- SG: No. 166
- DOS at the Fermi energy: 1.48 states/eV per atom

Lattice parameters (Å, degrees): 12.536 12.536 12.536 33.35 33.35 33.35
Positions (direct):
Pm 0.000 0.000 0.000
Pm 0.042 0.546 0.546
Pm 0.209 0.711 0.711
Pm 0.289 0.289 0.791
Pm 0.289 0.791 0.289
Pm 0.454 0.454 0.958
Pm 0.454 0.958 0.454
Pm 0.546 0.042 0.546
Pm 0.546 0.546 0.042
Pm 0.711 0.209 0.711
Pm 0.711 0.711 0.209
Pm 0.791 0.289 0.289
Pm 0.958 0.454 0.454
Nd 0.206 0.206 0.206
Nd 0.794 0.794 0.794

***

Most stable structure - arrangement A; separation to the second - 10.4 kJ/mol of atoms.

***

Arrangement A

Density functional theory data (PBE-GGA) for a relaxed Pm5Nd6 crystal.

Output
- Volume: 35.4 Å³/atom
- Magnetic moment: 0.0 μB per cell
- SG: No. 12
- DOS at the Fermi energy: 1.31 states/eV per atom

Lattice parameters (Å, degrees): 8.221 8.221 6.468 100.77 100.77 109.54
Positions (direct):
Pm 0.000 0.000 0.000
Pm 0.128 0.872 0.500
Pm 0.260 0.740 0.000
Pm 0.740 0.260 0.000
Pm 0.872 0.128 0.500
Nd 0.188 0.455 0.334
Nd 0.327 0.327 0.823
Nd 0.455 0.188 0.334
Nd 0.545 0.812 0.666
Nd 0.673 0.673 0.177
Nd 0.812 0.545 0.666

***

Arrangement B

Density functional theory data (PBE-GGA) for a relaxed Pm5Nd6 crystal.

Output
- Volume: 35.3 Å³/atom
- Magnetic moment: 0.0 μB per cell
- SG: No. 12
- DOS at the Fermi energy: 1.49 states/eV per atom

Lattice parameters (Å, degrees): 9.553 9.553 5.726 107.41 107.41 115.86
Positions (direct):
Pm 0.000 0.000 0.000
Pm 0.160 0.840 0.500
Pm 0.299 0.701 0.000
Pm 0.701 0.299 0.000
Pm 0.840 0.160 0.500
Nd 0.157 0.432 0.294
Nd 0.294 0.294 0.794
Nd 0.432 0.157 0.294
Nd 0.568 0.843 0.706
Nd 0.706 0.706 0.206
Nd 0.843 0.568 0.706

***

Most stable structure - arrangement B; separation to the second - 2.4 kJ/mol of atoms.

***

Arrangement A

Density functional theory data (PBE-GGA) for a relaxed Pm4Nd crystal.

Output
- Volume: 39.3 Å³/atom
- Magnetic moment: 0.0 μB per cell
- SG: No. 221
- DOS at the Fermi energy: 2.05 states/eV per atom

Lattice parameters (Å, degrees): 5.815 5.815 5.815 90.00 90.00 90.00
Positions (direct):
Pm 0.000 0.000 0.000
Pm 0.000 0.500 0.500
Pm 0.500 0.000 0.500
Pm 0.500 0.500 0.000
Nd 0.500 0.500 0.500

***

Arrangement B

Density functional theory data (PBE-GGA) for a relaxed Pm4Nd crystal.

Output
- Volume: 34.5 Å³/atom
- Magnetic moment: 0.0 μB per cell
- SG: No. 166
- DOS at the Fermi energy: 1.32 states/eV per atom

Lattice parameters (Å, degrees): 15.057 15.057 15.057 13.94 13.94 13.94
Positions (direct):
Pm 0.100 0.100 0.100
Pm 0.300 0.300 0.300
Pm 0.700 0.700 0.700
Pm 0.900 0.900 0.900
Nd 0.500 0.500 0.500

***

Most stable structure - arrangement B; separation to the second - 57.8 kJ/mol of atoms.